DFT (PBE) results for a geometry-optimized BeAlPb3 structure.

Results
* formation enthalpy at 0 K: 448 kJ/mol of formula units
* distance to the lowest polymorph of the same formula: 411 meV/atom
* space-group type: Pm-3m, No. 221
* magnetization: 0.0 μB/cell
* E_tot: -0.103 hartree per atom

Structure (extended XYZ):
```
5
Lattice="-0.983 5.284 0.780 -3.957 -1.253 3.502 3.588 0.066 4.077" Properties=species:S:1:pos:R:3 pbc="T T T"
Pb -0.492 2.642 0.390
Pb -1.979 -0.627 1.751
Pb 1.794 0.033 2.038
Al 0.000 0.000 0.000
Be -0.676 2.048 4.180
```